Na3TiCr2O6 | GGA+U | optimized geometry

Properties
The calculation puts the final energy at -81.387 eV per cell.

a = 5.2753 Å, b = 5.2753 Å, c = 5.6833 Å
α = 98.93°, β = 98.93°, γ = 119.97°
With the nearest neighbours (Å) after each atom.
Atoms (fractional coordinates):
Na: 0.0000 0.0000 0.0000  6 O 2.37-2.40
Na: 0.3335 0.6665 0.0000  6 O 2.38-2.40
Na: 0.6665 0.3335 0.0000  6 O 2.38-2.40
Ti: 0.5000 0.5000 0.5000  6 O 2.08-2.09
Cr: 0.1663 0.8337 0.5000  6 O 2.05-2.06
Cr: 0.8337 0.1663 0.5000  6 O 2.05-2.06
O: 0.0969 0.4336 0.3004  2 Cr 2.06, 1 Ti 2.08
O: 0.2289 0.2289 0.7009  2 Cr 2.05, 1 Ti 2.09
O: 0.4336 0.0969 0.3004  2 Cr 2.06, 1 Ti 2.08
O: 0.5664 0.9031 0.6996  2 Cr 2.06, 1 Ti 2.08
O: 0.7711 0.7711 0.2991  2 Cr 2.05, 1 Ti 2.09
O: 0.9031 0.5664 0.6996  2 Cr 2.06, 1 Ti 2.08